(1)
The following is a PBE calculation of a geometry-optimized Nd6Si4S17 structure, from Alexandria via LeMat-Bulk.

a b c (Å): 8.9954 10.0075 14.3185
angles (deg): 81.94 87.02 89.16
With the nearest neighbours (Å) after each atom.
Atoms (fractional coordinates):
Nd 0.0159 0.2684 0.4611  7 S 2.78-3.09
Nd 0.0855 0.5820 0.1653  7 S 2.88-3.15
Nd 0.1063 0.8842 0.8151  8 S 2.89-3.19
Nd 0.3332 0.9106 0.3419  7 S 2.89-3.11
Nd 0.3668 0.5632 0.6774  7 S 2.83-3.00
Nd 0.4493 0.2383 0.0018  7 S 2.87-3.04
Nd 0.5507 0.7617 0.9982  7 S 2.87-3.04
Nd 0.6332 0.4368 0.3226  7 S 2.83-3.00
Nd 0.6668 0.0894 0.6581  7 S 2.89-3.11
Nd 0.8937 0.1158 0.1849  8 S 2.89-3.19
Nd 0.9145 0.4180 0.8347  7 S 2.88-3.15
Nd 0.9841 0.7316 0.5389  7 S 2.78-3.09
Si 0.2310 0.9386 0.0988  4 S 2.10-2.15
Si 0.2496 0.5599 0.9232  4 S 2.12-2.15
Si 0.2498 0.9988 0.5830  4 S 2.11-2.16
Si 0.2768 0.5581 0.3932  4 S 2.11-2.15
Si 0.7232 0.4419 0.6068  4 S 2.11-2.15
Si 0.7502 0.0012 0.4170  4 S 2.11-2.16
Si 0.7504 0.4401 0.0768  4 S 2.12-2.15
Si 0.7690 0.0614 0.9012  4 S 2.10-2.15
S 0.0086 0.8739 0.1156  1 Si 2.10
S 0.0152 0.9904 0.6226  1 Si 2.16
S 0.0400 0.6495 0.9523  1 Si 2.12
S 0.0658 0.6415 0.7215  4 Nd 2.78-2.97
S 0.1081 0.7023 0.3447  1 Si 2.15
S 0.1854 0.4800 0.5313  1 Si 2.15
S 0.2491 0.1140 0.1679  1 Si 2.14
S 0.2565 0.3839 0.8521  1 Si 2.15
S 0.2989 0.8056 0.5405  1 Si 2.14
S 0.3047 0.1329 0.4596  1 Si 2.11
S 0.3056 0.4128 0.3005  1 Si 2.11
S 0.3213 0.9825 0.9563  1 Si 2.15
S 0.3409 0.5007 0.0570  1 Si 2.13
S 0.3552 0.0297 0.7062  1 Si 2.11
S 0.3673 0.7811 0.1661  1 Si 2.13
S 0.3816 0.7128 0.8385  1 Si 2.15
S 0.4850 0.6543 0.3952  1 Si 2.12
S 0.5150 0.3457 0.6048  1 Si 2.12
S 0.6184 0.2872 0.1615  1 Si 2.15
S 0.6327 0.2189 0.8339  1 Si 2.13
S 0.6448 0.9703 0.2938  1 Si 2.11
S 0.6591 0.4993 0.9430  1 Si 2.13
S 0.6787 0.0175 0.0437  1 Si 2.15
S 0.6944 0.5872 0.6995  1 Si 2.11
S 0.6953 0.8671 0.5404  1 Si 2.11
S 0.7011 0.1944 0.4595  1 Si 2.14
S 0.7435 0.6161 0.1479  1 Si 2.15
S 0.7509 0.8860 0.8321  1 Si 2.14
S 0.8146 0.5200 0.4687  1 Si 2.15
S 0.8919 0.2977 0.6553  1 Si 2.15
S 0.9342 0.3585 0.2785  4 Nd 2.78-2.97
S 0.9600 0.3505 0.0477  1 Si 2.12
S 0.9848 0.0096 0.3774  1 Si 2.16
S 0.9914 0.1261 0.8844  1 Si 2.10

Uncorrected formation energy   -1.465 eV per atom
Symmetry   P-1 (2)
Total energy   -320.03 eV per cell

(2)
The following is a PBE calculation of a geometry-optimized BaIn2Co structure, from Alexandria via LeMat-Bulk.

a b c (Å): 6.8121 6.8121 6.8121
angles (deg): 38.86 38.86 38.86
With the nearest neighbours (Å) after each atom.
Atoms (fractional coordinates):
Ba 0.0000 0.0000 0.0000  8 In 3.58-3.85
In 0.2039 0.2039 0.2039  3 Co 2.71, 3 In 2.97
In 0.7961 0.7961 0.7961  3 Co 2.71, 3 In 2.97
Co 0.5000 0.5000 0.5000  6 In 2.71

Calculated formation energy   -0.05 eV/atom
Symmetry   R-3m (166)
Total energy   -14.70 eV per cell

(3)
The following is a PBE calculation of a geometry-optimized CsMg2Tl2Pb2 structure, from Alexandria via LeMat-Bulk.

a b c (Å): 5.3781 5.3781 10.4115
angles (deg): 105.03 105.03 60.00
With the nearest neighbours (Å) after each atom.
Atoms (fractional coordinates):
Cs 0.0000 0.0000 0.0000  6 Pb 4.12, 2 Mg 4.20, 6 Tl 4.55-4.56
Mg 0.1405 0.1405 0.4227  1 Pb 3.03, 3 Tl 3.22-3.23
Mg 0.8595 0.8595 0.5773  1 Pb 3.03, 3 Tl 3.22-3.23
Tl 0.4450 0.4450 0.3357  3 Pb 3.17, 3 Mg 3.22-3.23, 1 Tl 3.26
Tl 0.5550 0.5550 0.6643  3 Pb 3.17, 3 Mg 3.22-3.23, 1 Tl 3.26
Pb 0.2426 0.2426 0.7273  1 Mg 3.03, 3 Tl 3.17
Pb 0.7574 0.7574 0.2727  1 Mg 3.03, 3 Tl 3.17

Calculated formation energy   -0.06 eV/atom
Symmetry   C2/m (12)
Total energy   -16.62 eV per cell

(4)
The following is a PBE calculation of a geometry-optimized PrCdIn structure, from Alexandria via LeMat-Bulk.

a b c (Å): 9.2563 9.2563 9.2563
angles (deg): 21.07 21.07 21.07
With the nearest neighbours (Å) after each atom.
Atoms (fractional coordinates):
Pr 0.0000 0.0000 0.0000  1 In 3.33, 6 Pr 3.38, 3 Cd 3.40
Cd 0.2307 0.2307 0.2307  1 In 2.94
In 0.1225 0.1225 0.1225  1 Cd 2.94

Calculated formation energy   0.05 eV/atom
Symmetry   R3m (160)
Total energy   -8.28 eV per cell

(5)
The following is a PBE calculation of a geometry-optimized Pa3MnRh structure, from Alexandria via LeMat-Bulk.

a b c (Å): 7.2365 3.9507 7.9977
angles (deg): 90.00 112.91 90.00
With the nearest neighbours (Å) after each atom.
Atoms (fractional coordinates):
Pa 0.0665 0.2500 0.1802  1 Mn 2.59, 2 Rh 2.88
Pa 0.2146 0.7500 0.5431  1 Mn 2.36
Pa 0.4008 0.7500 0.1447  1 Rh 2.62, 2 Mn 2.78
Pa 0.5992 0.2500 0.8553  1 Rh 2.62, 2 Mn 2.78
Pa 0.7854 0.2500 0.4569  1 Mn 2.36
Pa 0.9335 0.7500 0.8198  1 Mn 2.59, 2 Rh 2.88
Mn 0.4398 0.2500 0.4003  2 Pa 2.36-2.59, 2 Mn 2.47
Mn 0.5602 0.7500 0.5997  2 Pa 2.36-2.59, 2 Mn 2.47
Rh 0.2268 0.2500 0.8300  3 Pa 2.62-2.88
Rh 0.7732 0.7500 0.1700  3 Pa 2.62-2.88

Calculated formation energy   -0.30 eV/atom
Symmetry   P2_1/m (11)
Total energy   -93.03 eV per cell

(6)
The following is a PBE calculation of a geometry-optimized CsSbP structure, from Alexandria via LeMat-Bulk.

a b c (Å): 7.4395 7.4395 6.4194
angles (deg): 114.76 114.76 103.68
With the nearest neighbours (Å) after each atom.
Atoms (fractional coordinates):
Cs 0.1958 0.8042 0.0000  4 P 3.75-4.07, 4 Sb 3.89-4.11
Cs 0.8042 0.1958 0.0000  4 P 3.75-4.07, 4 Sb 3.89-4.11
Sb 0.5534 0.5534 0.7376  1 P 2.50
Sb 0.7118 0.7118 0.3028  1 P 2.51
P 0.2328 0.2328 0.6192  1 P 2.14
P 0.3500 0.3500 0.0425  1 P 2.14

Uncorrected formation energy   -0.303 eV per atom
Symmetry   Cm (8)
Total energy   -22.59 eV per cell

(7)
The following is a PBE calculation of a geometry-optimized LiZnP2 structure, from Alexandria via LeMat-Bulk.

a b c (Å): 4.7971 4.7971 2.7222
angles (deg): 94.45 94.45 108.32
With the nearest neighbours (Å) after each atom.
Atoms (fractional coordinates):
Li 0.0000 0.0000 0.0000  8 P 2.66-2.85, 2 Li 2.72, 2 Zn 2.81
Zn 0.5000 0.5000 0.0000  8 P 2.66-2.85, 2 Zn 2.72, 2 Li 2.81
P 0.0000 0.5000 0.5000  4 Li 2.66-2.85, 4 Zn 2.66-2.85, 4 P 2.72-2.81
P 0.5000 0.0000 0.5000  4 Li 2.66-2.85, 4 Zn 2.66-2.85, 4 P 2.72-2.81

Calculated formation energy   0.02 eV/atom
Symmetry   C2/m (12)
Total energy   -13.93 eV per cell

(8)
The following is a PBE calculation of a geometry-optimized Li4DySn5 structure, from Alexandria via LeMat-Bulk.

a b c (Å): 3.4962 3.4962 17.7602
angles (deg): 90.00 90.00 90.00
With the nearest neighbours (Å) after each atom.
Atoms (fractional coordinates):
Li 0.0000 0.0000 0.0954  8 Sn 2.99-3.00, 1 Li 3.34
Li 0.0000 0.0000 0.2835  8 Sn 2.98-3.00
Li 0.0000 0.0000 0.7165  8 Sn 2.98-3.00
Li 0.0000 0.0000 0.9046  8 Sn 2.99-3.00, 1 Li 3.34
Dy 0.0000 0.0000 0.5000  8 Sn 3.28, 4 Dy 3.50
Sn 0.5000 0.5000 0.0000  8 Li 3.00
Sn 0.5000 0.5000 0.1903  8 Li 2.98-2.99
Sn 0.5000 0.5000 0.3788  4 Li 3.00, 4 Dy 3.28, 1 Sn 3.35
Sn 0.5000 0.5000 0.6212  4 Li 3.00, 4 Dy 3.28, 1 Sn 3.35
Sn 0.5000 0.5000 0.8097  8 Li 2.98-2.99

Calculated formation energy   -0.37 eV/atom
Symmetry   P4/mmm (123)
Total energy   -35.99 eV per cell